Density functional theory data (PBE with a Hubbard U) for an optimized crystal structure of CaCdCoF6.

Lattice parameters (Å, degrees): 5.6504 5.6504 9.4008 90.00 90.00 120.00
Fractional positions:
Ca 0.3333 0.6667 0.2500
Ca 0.6667 0.3333 0.7500
Cd 0.0000 0.0000 0.0000
Cd 0.0000 0.0000 0.5000
Co 0.3333 0.6667 0.7500
Co 0.6667 0.3333 0.2500
F 0.0276 0.3542 0.6320
F 0.0276 0.6734 0.8680
F 0.3266 0.3542 0.8680
F 0.3266 0.9724 0.6320
F 0.3542 0.0276 0.1320
F 0.3542 0.3266 0.3680
F 0.6458 0.6734 0.6320
F 0.6458 0.9724 0.8680
F 0.6734 0.0276 0.3680
F 0.6734 0.6458 0.1320
F 0.9724 0.3266 0.1320
F 0.9724 0.6458 0.3680

size of the total moment: 3.00 μB per formula unit
energy: -4.855 eV/atom